Record 1
Compound: Tb6CeY3Er2
Source: the Alexandria database
Functional: PBE-GGA
Structure: relaxed

E_tot, eV/atom: -5.15

a = 6.156 Å, b = 10.659 Å, c = 11.787 Å
α = 90.00°, β = 100.02°, γ = 90.00°
Space group C2/m (No. 12)
Asymmetric unit:
Tb: 0.249 0.000 0.252 (multiplicity 4)
Tb: 0.249 0.166 0.748 (multiplicity 8)
Ce: 0.000 0.000 0.500 (multiplicity 2)
Y: 0.000 0.167 0.000 (multiplicity 4)
Y: 0.000 0.500 0.000 (multiplicity 2)
Er: 0.000 0.333 0.500 (multiplicity 4)

Record 2
Compound: Tb2CeY3Er6
Source: the Alexandria database
Functional: PBE-GGA
Structure: relaxed

E_tot, eV/atom: -5.12

a = 6.130 Å, b = 10.611 Å, c = 11.711 Å
α = 90.00°, β = 100.04°, γ = 90.00°
Space group C2/m (No. 12)
Asymmetric unit:
Tb: 0.000 0.167 0.000 (multiplicity 4)
Ce: 0.000 0.500 0.000 (multiplicity 2)
Y: 0.000 0.000 0.500 (multiplicity 2)
Y: 0.000 0.333 0.500 (multiplicity 4)
Er: 0.248 0.500 0.751 (multiplicity 4)
Er: 0.249 0.335 0.249 (multiplicity 8)

Record 3
Compound: Tb6Ce2YEr3
Source: the Alexandria database
Functional: PBE-GGA
Structure: relaxed

E_tot, eV/atom: -4.93

a = 6.131 Å, b = 10.619 Å, c = 11.739 Å
α = 90.00°, β = 100.03°, γ = 90.00°
Space group C2/m (No. 12)
Asymmetric unit:
Tb: 0.248 0.000 0.251 (multiplicity 4)
Tb: 0.248 0.168 0.749 (multiplicity 8)
Ce: 0.000 0.167 0.000 (multiplicity 4)
Y: 0.000 0.500 0.000 (multiplicity 2)
Er: 0.000 0.000 0.500 (multiplicity 2)
Er: 0.000 0.334 0.500 (multiplicity 4)

Record 4
Compound: Tb3Ce2YEr6
Source: the Alexandria database
Functional: PBE-GGA
Structure: relaxed

E_tot, eV/atom: -4.94

a = 6.1350 Å, b = 6.1350 Å, c = 11.3608 Å
α = 90.00°, β = 90.00°, γ = 120.00°
Space group P-31m (No. 162)
Asymmetric unit:
Tb: 0.0000 0.0000 0.0000 (multiplicity 1)
Tb: 0.3333 0.6667 0.0000 (multiplicity 2)
Ce: 0.3333 0.6667 0.5000 (multiplicity 2)
Y: 0.0000 0.0000 0.5000 (multiplicity 1)
Er: 0.0000 0.3356 0.7485 (multiplicity 6)

Record 5
Compound: CeErTc2
Source: the Alexandria database
Functional: PBE-GGA
Structure: relaxed

E_tot, eV/atom: -7.83
Energy above the most stable polymorph in this dataset, eV/f.u.: 0.00

a = 3.403 Å, b = 3.403 Å, c = 6.864 Å
α = 90.00°, β = 90.00°, γ = 90.00°
Space group P4/mmm (No. 123)
Asymmetric unit:
Ce: 0.000 0.000 0.000 (multiplicity 1)
Er: 0.000 0.000 0.500 (multiplicity 1)
Tc: 0.500 0.500 0.228 (multiplicity 2)

Record 6
Compound: CeEr2Tc
Source: the Alexandria database
Functional: PBE-GGA
Structure: relaxed

E_tot, eV/atom: -6.16
Energy above the most stable polymorph in this dataset, eV/f.u.: 1.55

a = 5.0832 Å, b = 5.0832 Å, c = 12.4732 Å
α = 90.00°, β = 90.00°, γ = 120.00°
Space group R-3m (No. 166, hexagonal axes)
Asymmetric unit:
Ce: 0.0000 0.0000 0.0000 (multiplicity 3)
Er: 0.0000 0.0000 0.2498 (multiplicity 6)
Tc: 0.0000 0.0000 0.5000 (multiplicity 3)

| no. | energy relative to the elements (meV per atom) | spin magnetization (μB per formula unit) | density (g/cm³) |
| --- | --- | --- | --- |
| 1 | 37 | 1.21 | 7.39 |
| 2 | 39 | 1.07 | 7.65 |
| 3 | 50 | 1.94 | 8.05 |
| 4 | 23 | 1.58 | 8.30 |
| 5 | -19 | 0.00 | 10.52 |
| 6 | 193 | 0.04 | 10.22 |